SmAlZnCu: relaxed, PBE.

Computed properties:
Formation energy from the elements (eV/atom): -0.33
ρ (Mg/m³): 7.0

Geometry as CIF:
```
data_SmAlZnCu
_chemical_formula_sum 'Sm4 Al4 Zn4 Cu4'
_cell_length_a 6.637
_cell_length_b 6.637
_cell_length_c 6.637
_cell_angle_alpha 90.00
_cell_angle_beta 90.00
_cell_angle_gamma 90.00
_space_group_name_H-M_alt 'F -4 3 m'
_space_group_IT_number 216
_space_group_name_Hall 'F -4 2 3'
loop_
_atom_site_label
_atom_site_fract_x
_atom_site_fract_y
_atom_site_fract_z
Sm1 0.000 0.000 0.000
Al1 0.000 0.000 0.500
Zn1 0.250 0.250 0.250
Cu1 0.250 0.250 0.750
```



PrTl2Br6: relaxed, PBE.

Computed properties:
Raw formation energy (eV/atom): -1.1436
ρ (Mg/m³): 6.0

Geometry as CIF:
```
data_PrTl2Br6
_chemical_formula_sum 'Pr2 Tl4 Br12'
_cell_length_a 4.503
_cell_length_b 15.345
_cell_length_c 8.236
_cell_angle_alpha 90.00
_cell_angle_beta 90.00
_cell_angle_gamma 90.00
_space_group_name_H-M_alt 'A m m 2'
_space_group_IT_number 38
loop_
_space_group_symop_operation_xyz
'x,y,z'
'-x,-y,z'
'-x,y,z'
'x,-y,z'
'x,y+1/2,z+1/2'
'-x,-y+1/2,z+1/2'
'-x,y+1/2,z+1/2'
'x,-y+1/2,z+1/2'
loop_
_atom_site_label
_atom_site_fract_x
_atom_site_fract_y
_atom_site_fract_z
Pr1 0.000 0.000 0.000
Tl1 0.500 0.167 0.489
Br1 0.000 0.000 0.626
Br2 0.000 0.186 0.203
Br3 0.500 0.000 0.251
Br4 0.500 0.121 0.883
```



Ca2PmCd: relaxed, PBE.

Computed properties:
Formation energy from the elements (eV/atom): 0.10
ρ (Mg/m³): 4.0

Geometry as CIF:
```
data_Ca2PmCd
_chemical_formula_sum 'Ca6 Pm3 Cd3'
_cell_length_a 3.6208
_cell_length_b 3.6208
_cell_length_c 36.5860
_cell_angle_alpha 90.00
_cell_angle_beta 90.00
_cell_angle_gamma 120.00
_space_group_name_H-M_alt 'R -3 m'
_space_group_IT_number 166
_space_group_name_Hall '-R 3 2"'
loop_
_atom_site_label
_atom_site_fract_x
_atom_site_fract_y
_atom_site_fract_z
Ca1 0.0000 0.0000 0.0968
Pm1 0.0000 0.0000 0.0000
Cd1 0.0000 0.0000 0.5000
```



HoTlH: relaxed, PBE.

Computed properties:
VASP energy (eV per atom): -3.8078
ρ (Mg/m³): 10.5

Geometry as CIF:
```
data_HoTlH
_chemical_formula_sum 'Ho2 Tl2 H2'
_cell_length_a 3.643
_cell_length_b 3.664
_cell_length_c 8.861
_cell_angle_alpha 90.00
_cell_angle_beta 95.75
_cell_angle_gamma 90.00
_space_group_name_H-M_alt 'P 1 21/m 1'
_space_group_IT_number 11
loop_
_space_group_symop_operation_xyz
'x,y,z'
'-x,-y,-z'
'-x,y+1/2,-z'
'x,-y+1/2,z'
loop_
_atom_site_label
_atom_site_fract_x
_atom_site_fract_y
_atom_site_fract_z
Ho1 0.218 0.250 0.356
Tl1 0.303 0.250 0.873
H1 0.247 0.750 0.500
```



TlCrCo2: relaxed, PBE.

Computed properties:
Formation energy from the elements (eV/atom): 0.56
ρ (Mg/m³): 10.9

Geometry as CIF:
```
data_TlCrCo2
_chemical_formula_sum 'Tl2 Cr2 Co4'
_cell_length_a 8.654
_cell_length_b 2.929
_cell_length_c 4.616
_cell_angle_alpha 90.00
_cell_angle_beta 103.28
_cell_angle_gamma 90.00
_space_group_name_H-M_alt 'C 1 m 1'
_space_group_IT_number 8
loop_
_space_group_symop_operation_xyz
'x,y,z'
'x,-y,z'
'x+1/2,y+1/2,z'
'x+1/2,-y+1/2,z'
loop_
_atom_site_label
_atom_site_fract_x
_atom_site_fract_y
_atom_site_fract_z
Tl1 0.000 0.000 0.000
Cr1 0.265 0.500 0.349
Co1 0.241 0.000 0.731
Co2 0.498 0.000 0.496
```



BaLaAu2: relaxed, PBE.

Computed properties:
Formation energy from the elements (eV/atom): -0.64
ρ (Mg/m³): 8.3

Geometry as CIF:
```
data_BaLaAu2
_chemical_formula_sum 'Ba2 La2 Au4'
_cell_length_a 4.136
_cell_length_b 4.193
_cell_length_c 15.495
_cell_angle_alpha 90.00
_cell_angle_beta 90.00
_cell_angle_gamma 90.00
_space_group_name_H-M_alt 'I m m 2'
_space_group_IT_number 44
loop_
_space_group_symop_operation_xyz
'x,y,z'
'-x,-y,z'
'-x,y,z'
'x,-y,z'
'x+1/2,y+1/2,z+1/2'
'-x+1/2,-y+1/2,z+1/2'
'-x+1/2,y+1/2,z+1/2'
'x+1/2,-y+1/2,z+1/2'
loop_
_atom_site_label
_atom_site_fract_x
_atom_site_fract_y
_atom_site_fract_z
Ba1 0.000 0.000 0.000
La1 0.000 0.500 0.747
Au1 0.000 0.000 0.394
Au2 0.000 0.500 0.178
```



FeBCl3: relaxed, PBE.

Computed properties:
Raw formation energy (eV/atom): 0.6236
ρ (Mg/m³): 3.3

Geometry as CIF:
```
data_FeBCl3
_chemical_formula_sum 'Fe1 B1 Cl3'
_cell_length_a 4.420
_cell_length_b 4.420
_cell_length_c 4.420
_cell_angle_alpha 90.00
_cell_angle_beta 90.00
_cell_angle_gamma 90.00
_space_group_name_H-M_alt 'P m -3 m'
_space_group_IT_number 221
_space_group_name_Hall '-P 4 2 3'
loop_
_atom_site_label
_atom_site_fract_x
_atom_site_fract_y
_atom_site_fract_z
Fe1 0.000 0.000 0.000
B1 0.500 0.500 0.500
Cl1 0.000 0.500 0.500
```



Na2ZrGe2: relaxed, PBE.

Computed properties:
Formation energy from the elements (eV/atom): 0.10
ρ (Mg/m³): 4.4

Geometry as CIF:
```
data_Na2ZrGe2
_chemical_formula_sum 'Na4 Zr2 Ge4'
_cell_length_a 8.092
_cell_length_b 8.092
_cell_length_c 3.292
_cell_angle_alpha 90.00
_cell_angle_beta 90.00
_cell_angle_gamma 90.00
_space_group_name_H-M_alt 'P 4/m b m'
_space_group_IT_number 127
_space_group_name_Hall '-P 4 2ab'
loop_
_atom_site_label
_atom_site_fract_x
_atom_site_fract_y
_atom_site_fract_z
Na1 0.120 0.380 0.000
Zr1 0.000 0.000 0.500
Ge1 0.185 0.685 0.500
```



Mg2TaCo2: relaxed, PBE.

Computed properties:
Formation energy from the elements (eV/atom): 0.32
ρ (Mg/m³): 7.9

Geometry as CIF:
```
data_Mg2TaCo2
_chemical_formula_sum 'Mg4 Ta2 Co4'
_cell_length_a 7.285
_cell_length_b 7.285
_cell_length_c 2.755
_cell_angle_alpha 90.00
_cell_angle_beta 90.00
_cell_angle_gamma 90.00
_space_group_name_H-M_alt 'P 4/m b m'
_space_group_IT_number 127
_space_group_name_Hall '-P 4 2ab'
loop_
_atom_site_label
_atom_site_fract_x
_atom_site_fract_y
_atom_site_fract_z
Mg1 0.124 0.376 0.000
Ta1 0.000 0.000 0.000
Co1 0.179 0.679 0.500
```



SbMoIr2: relaxed, PBE.

Computed properties:
Raw formation energy (eV/atom): 0.1978
ρ (Mg/m³): 15.1

Geometry as CIF:
```
data_SbMoIr2
_chemical_formula_sum 'Sb1 Mo1 Ir2'
_cell_length_a 2.968
_cell_length_b 2.968
_cell_length_c 7.514
_cell_angle_alpha 90.00
_cell_angle_beta 90.00
_cell_angle_gamma 90.00
_space_group_name_H-M_alt 'P 4 m m'
_space_group_IT_number 99
loop_
_space_group_symop_operation_xyz
'x,y,z'
'-y,x,z'
'-x,-y,z'
'y,-x,z'
'-x,y,z'
'y,x,z'
'x,-y,z'
'-y,-x,z'
loop_
_atom_site_label
_atom_site_fract_x
_atom_site_fract_y
_atom_site_fract_z
Sb1 0.000 0.000 0.000
Mo1 0.500 0.500 0.723
Ir1 0.000 0.000 0.506
Ir2 0.500 0.500 0.235
```



TlCd2CuBi: relaxed, PBE.

Computed properties:
Formation energy from the elements (eV/atom): 0.17
ρ (Mg/m³): 8.4

Geometry as CIF:
```
data_TlCd2CuBi
_chemical_formula_sum 'Tl1 Cd2 Cu1 Bi1'
_cell_length_a 5.111
_cell_length_b 5.111
_cell_length_c 5.328
_cell_angle_alpha 90.00
_cell_angle_beta 90.00
_cell_angle_gamma 90.00
_space_group_name_H-M_alt 'P 4/m m m'
_space_group_IT_number 123
_space_group_name_Hall '-P 4 2'
loop_
_atom_site_label
_atom_site_fract_x
_atom_site_fract_y
_atom_site_fract_z
Tl1 0.000 0.000 0.000
Cd1 0.000 0.500 0.500
Cu1 0.500 0.500 0.500
Bi1 0.500 0.500 0.000
```



LaHf2Cr: relaxed, PBE.

Computed properties:
Formation energy from the elements (eV/atom): 1.30
ρ (Mg/m³): 6.9

Geometry as CIF:
```
data_LaHf2Cr
_chemical_formula_sum 'La4 Hf8 Cr4'
_cell_length_a 7.197
_cell_length_b 7.197
_cell_length_c 10.197
_cell_angle_alpha 90.00
_cell_angle_beta 90.00
_cell_angle_gamma 90.00
_space_group_name_H-M_alt 'I 41/a m d'
_space_group_IT_number 141
loop_
_space_group_symop_operation_xyz
'x,y,z'
'-x,-y,-z'
'-y+1/4,x+3/4,z+1/4'
'y+1/4,-x+3/4,-z+1/4'
'-x+1/2,-y,z+1/2'
'x+1/2,y,-z+1/2'
'y+1/4,-x+1/4,z+3/4'
'-y+1/4,x+1/4,-z+3/4'
'x,-y,-z'
'-x,y,z'
'-y+1/4,-x+1/4,-z+3/4'
'y+1/4,x+1/4,z+3/4'
'-x+1/2,y,-z+1/2'
'x+1/2,-y,z+1/2'
'y+1/4,x+3/4,-z+1/4'
'-y+1/4,-x+3/4,z+1/4'
'x+1/2,y+1/2,z+1/2'
'-x+1/2,-y+1/2,-z+1/2'
'-y+3/4,x+1/4,z+3/4'
'y+3/4,-x+1/4,-z+3/4'
'-x,-y+1/2,z'
'x,y+1/2,-z'
'y+3/4,-x+3/4,z+1/4'
'-y+3/4,x+3/4,-z+1/4'
'x+1/2,-y+1/2,-z+1/2'
'-x+1/2,y+1/2,z+1/2'
'-y+3/4,-x+3/4,-z+1/4'
'y+3/4,x+3/4,z+1/4'
'-x,y+1/2,-z'
'x,-y+1/2,z'
'y+3/4,x+1/4,-z+3/4'
'-y+3/4,-x+1/4,z+3/4'
loop_
_atom_site_label
_atom_site_fract_x
_atom_site_fract_y
_atom_site_fract_z
La1 0.000 0.250 0.375
Hf1 0.000 0.000 0.000
Cr1 0.000 0.250 0.875
```